# 1
{
  "formula": "BaCaSi2",
  "functional": "SCAN",
  "state": "PBEsol geometry",
  "density_g_cm3": 3.74,
  "e_form_raw_mev_per_atom": -27,
  "polymorph_energy_mev_per_atom": 438.8,
  "crystal_system": "tetragonal",
  "total_energy_ev_per_cell": -69.352,
  "lattice": [[4.831, 0.000, 0.000], [0.000, 4.831, 0.000], [0.000, 0.000, 4.442]],
  "species": ["Ba", "Ca", "Si", "Si"],
  "frac_coords": [[0.000, 0.000, 0.000], [0.500, 0.500, 0.000], [0.000, 0.500, 0.500], [0.500, 0.000, 0.500]]
}

# 2
{
  "formula": "BaCa2SiW",
  "functional": "SCAN",
  "state": "PBEsol geometry",
  "density_g_cm3": 4.75,
  "e_form_raw_mev_per_atom": 557,
  "crystal_system": "tetragonal",
  "total_energy_ev_per_cell": -135.797,
  "lattice": [[5.565, 0.000, 0.000], [0.000, 5.565, 0.000], [0.000, 0.000, 4.842]],
  "species": ["Ba", "Ca", "Ca", "Si", "W"],
  "frac_coords": [[0.000, 0.000, 0.000], [0.000, 0.500, 0.500], [0.500, 0.000, 0.500], [0.500, 0.500, 0.500], [0.500, 0.500, 0.000]]
}

# 3
{
  "formula": "Ba2CaSn2",
  "functional": "SCAN",
  "state": "PBEsol geometry",
  "density_g_cm3": 4.87,
  "formation_enthalpy_0k_ev_per_atom": -0.680,
  "crystal_system": "tetragonal",
  "total_energy_ev_per_cell": -328.011,
  "lattice": [[8.489, 0.000, 0.000], [0.000, 8.489, 0.000], [0.000, 0.000, 5.224]],
  "species": ["Ba", "Ba", "Ba", "Ba", "Ca", "Ca", "Sn", "Sn", "Sn", "Sn"],
  "frac_coords": [[0.168, 0.332, 0.000], [0.332, 0.832, 0.000], [0.668, 0.168, 0.000], [0.832, 0.668, 0.000], [0.000, 0.000, 0.500], [0.500, 0.500, 0.500], [0.124, 0.624, 0.500], [0.376, 0.124, 0.500], [0.624, 0.876, 0.500], [0.876, 0.376, 0.500]]
}

# 4
{
  "formula": "BaSrCa2",
  "functional": "SCAN",
  "state": "PBEsol geometry",
  "density_g_cm3": 2.68,
  "formation_enthalpy_0k_ev_per_atom": 0.037,
  "polymorph_energy_mev_per_atom": 5.5,
  "crystal_system": "orthorhombic",
  "total_energy_ev_per_cell": -81.005,
  "lattice": [[-2.230, 3.261, 6.493], [2.230, -3.261, 6.493], [2.230, 3.261, -6.493]],
  "species": ["Ba", "Sr", "Ca", "Ca"],
  "frac_coords": [[0.000, 0.000, 0.000], [0.736, 0.236, 0.500], [0.255, 0.755, 0.500], [0.488, 0.488, 0.000]]
}

# 5
{
  "formula": "BaSrCa2",
  "functional": "SCAN",
  "state": "PBEsol geometry",
  "density_g_cm3": 2.71,
  "formation_enthalpy_0k_ev_per_atom": 0.036,
  "polymorph_energy_mev_per_atom": 4.6,
  "crystal_system": "monoclinic",
  "total_energy_ev_per_cell": -81.009,
  "lattice": [[3.924, 0.000, 0.000], [0.000, 6.505, 0.000], [-1.084, 0.000, 7.328]],
  "species": ["Ba", "Sr", "Ca", "Ca"],
  "frac_coords": [[0.000, 0.000, 0.000], [0.224, 0.500, 0.727], [0.516, 0.000, 0.492], [0.701, 0.500, 0.238]]
}

# 6
{
  "formula": "BaSrCa",
  "functional": "SCAN",
  "state": "PBEsol geometry",
  "density_g_cm3": 2.91,
  "formation_enthalpy_0k_ev_per_atom": 0.035,
  "polymorph_energy_mev_per_atom": 1.2,
  "crystal_system": "orthorhombic",
  "total_energy_ev_per_cell": -71.383,
  "lattice": [[-2.095, 2.876, 6.265], [2.095, -2.876, 6.265], [2.095, 2.876, -6.265]],
  "species": ["Ba", "Sr", "Ca"],
  "frac_coords": [[0.000, 0.000, 0.000], [0.674, 0.674, 0.000], [0.334, 0.334, 0.000]]
}

What is the formula in the sixth record? BaSrCa